VASP calculation (PBE with a Hubbard U) on a relaxed structure of NbCr2CdO6.

The value obtained for the uncorrected energy is -7.489 eV per atom.

Structure (CIF):
```
data_NbCr2CdO6
_chemical_formula_sum 'Nb1 Cr2 Cd1 O6'
_cell_length_a 5.256
_cell_length_b 5.370
_cell_length_c 5.633
_cell_angle_alpha 65.10
_cell_angle_beta 89.24
_cell_angle_gamma 61.04
_space_group_name_H-M_alt 'P 1'
_space_group_IT_number 1
_space_group_name_Hall 'P 1'
loop_
_atom_site_label
_atom_site_type_symbol
_atom_site_fract_x
_atom_site_fract_y
_atom_site_fract_z
Nb1 Nb 0.000 0.000 0.000
Cr1 Cr 0.198 0.590 0.606
Cr2 Cr 0.697 0.604 0.083
Cd1 Cd 0.460 0.059 0.438
O1 O 0.044 0.552 0.289
O2 O 0.303 0.776 0.827
O3 O 0.402 0.762 0.296
O4 O 0.649 0.048 0.834
O5 O 0.809 0.145 0.274
O6 O 0.948 0.428 0.840
```